Material: MgCrRe3
Method: DFT, GGA-PBE
State: optimized geometry

Lattice parameters (Å, degrees): 4.4839 4.4839 4.4839 90.00 90.00 90.00
Sites, in units of the cell vectors:
1 Re 0.0000 0.5000 0.0000
2 Re 0.5000 0.0000 0.0000
3 Re 0.0000 0.0000 0.5000
4 Cr 0.0000 0.0000 0.0000
5 Mg 0.5000 0.5000 0.5000

Values from the calculation:
- theoretical density (g/cm3) = 11.69
- uncorrected energy (eV/f.u.) = -41.62
- volume (A^3/atom) = 18.0
- energy of formation from the pure elements (eV per atom) = 1.39
- total moment (Bohr magnetons per cell) = 0.00

Material: MgCrRe4
Method: DFT, GGA-PBE
State: optimized geometry

Lattice parameters (Å, degrees): 5.1870 5.1870 5.1870 60.00 60.00 60.00
Sites, in units of the cell vectors:
1 Mg 0.0000 0.0000 0.0000
2 Cr 0.7500 0.7500 0.7500
3 Re 0.3748 0.8756 0.3748
4 Re 0.8756 0.3748 0.3748
5 Re 0.3748 0.3748 0.3748
6 Re 0.3748 0.3748 0.8756

Values from the calculation:
- theoretical density (g/cm3) = 13.82
- uncorrected energy (eV/f.u.) = -58.82
- volume (A^3/atom) = 16.4
- energy of formation from the pure elements (eV per atom) = 0.37
- total moment (Bohr magnetons per cell) = 2.21

Material: MgCr2Re
Method: DFT, GGA-PBE
State: optimized geometry

Lattice parameters (Å, degrees): 4.8744 4.8744 2.5904 90.00 90.00 114.73
Sites, in units of the cell vectors:
1 Cr 0.0000 0.0000 0.0000
2 Cr 0.5000 0.5000 0.0000
3 Re 0.0000 0.5000 0.5000
4 Mg 0.5000 0.0000 0.5000

Values from the calculation:
- theoretical density (g/cm3) = 9.34
- uncorrected energy (eV/f.u.) = -31.29
- volume (A^3/atom) = 14.0
- energy of formation from the pure elements (eV per atom) = 0.50
- total moment (Bohr magnetons per cell) = 0.00

Material: MgCr2Re
Method: DFT, GGA-PBE
State: optimized geometry

Lattice parameters (Å, degrees): 4.2306 2.5843 5.1405 80.24 90.00 90.00
Sites, in units of the cell vectors:
1 Mg 0.5000 0.2500 0.2500
2 Cr 0.0000 0.5289 0.5050
3 Cr 0.0000 0.9711 0.9950
4 Re 0.5000 0.7500 0.7500

Values from the calculation:
- theoretical density (g/cm3) = 9.43
- uncorrected energy (eV/f.u.) = -31.91
- volume (A^3/atom) = 13.8
- energy of formation from the pure elements (eV per atom) = 0.34
- total moment (Bohr magnetons per cell) = 0.01

Material: MgCr2Re
Method: DFT, GGA-PBE
State: optimized geometry

Lattice parameters (Å, degrees): 2.6481 2.6481 8.6727 90.00 90.00 109.92
Sites, in units of the cell vectors:
1 Mg 0.5000 0.5000 0.2500
2 Cr 0.0000 0.0000 0.5163
3 Cr 0.0000 0.0000 0.9837
4 Re 0.5000 0.5000 0.7500

Values from the calculation:
- theoretical density (g/cm3) = 9.13
- uncorrected energy (eV/f.u.) = -32.01
- volume (A^3/atom) = 14.3
- energy of formation from the pure elements (eV per atom) = 0.32
- total moment (Bohr magnetons per cell) = 0.00

Material: Mg2CrRe2
Method: DFT, GGA-PBE
State: optimized geometry

Lattice parameters (Å, degrees): 3.3783 3.3783 7.5144 77.01 77.01 90.00
Sites, in units of the cell vectors:
1 Cr 0.0000 0.0000 0.0000
2 Mg 0.2500 0.7500 0.5000
3 Mg 0.7500 0.2500 0.5000
4 Re 0.4127 0.4127 0.1746
5 Re 0.5873 0.5873 0.8254

Values from the calculation:
- theoretical density (g/cm3) = 9.66
- uncorrected energy (eV/f.u.) = -32.53
- volume (A^3/atom) = 16.3
- energy of formation from the pure elements (eV per atom) = 1.04
- total moment (Bohr magnetons per cell) = 0.00

Material: MgCr2Re
Method: DFT, GGA-PBE
State: optimized geometry

Lattice parameters (Å, degrees): 3.0664 4.4090 4.2415 90.00 90.00 90.00
Sites, in units of the cell vectors:
1 Cr 0.0000 0.0000 0.0000
2 Cr 0.5000 0.5000 0.0000
3 Mg 0.5000 0.0000 0.5000
4 Re 0.0000 0.5000 0.5000

Values from the calculation:
- theoretical density (g/cm3) = 9.11
- uncorrected energy (eV/f.u.) = -31.57
- volume (A^3/atom) = 14.3
- energy of formation from the pure elements (eV per atom) = 0.43
- total moment (Bohr magnetons per cell) = 2.42

Material: MgCr2Re
Method: DFT, GGA-PBE
State: optimized geometry

Lattice parameters (Å, degrees): 2.9771 2.9771 6.6034 90.00 90.00 90.00
Sites, in units of the cell vectors:
1 Re 0.5000 0.5000 0.7851
2 Cr 0.5000 0.5000 0.2108
3 Cr 0.0000 0.0000 0.0039
4 Mg 0.0000 0.0000 0.5002

Values from the calculation:
- theoretical density (g/cm3) = 8.92
- uncorrected energy (eV/f.u.) = -32.15
- volume (A^3/atom) = 14.6
- energy of formation from the pure elements (eV per atom) = 0.29
- total moment (Bohr magnetons per cell) = 2.26

Material: MgSc2CrRe
Method: DFT, GGA-PBE
State: optimized geometry

Lattice parameters (Å, degrees): 4.8924 4.4549 4.8924 90.00 90.00 90.00
Sites, in units of the cell vectors:
1 Cr 0.0000 0.0000 0.0000
2 Sc 0.0000 0.0000 0.5000
3 Sc 0.5000 0.0000 0.0000
4 Re 0.0000 0.5000 0.0000
5 Mg 0.5000 0.5000 0.5000

Values from the calculation:
- theoretical density (g/cm3) = 5.49
- uncorrected energy (eV/f.u.) = -33.39
- volume (A^3/atom) = 21.3
- energy of formation from the pure elements (eV per atom) = 0.59
- total moment (Bohr magnetons per cell) = 0.03

Material: MgCrRe2Se
Method: DFT, GGA-PBE
State: optimized geometry

Lattice parameters (Å, degrees): 4.5704 4.5704 4.5147 90.00 90.00 90.00
Sites, in units of the cell vectors:
1 Re 0.0000 0.5000 0.0000
2 Re 0.5000 0.0000 0.0000
3 Se 0.0000 0.0000 0.5000
4 Cr 0.0000 0.0000 0.0000
5 Mg 0.5000 0.5000 0.5000

Values from the calculation:
- theoretical density (g/cm3) = 9.29
- uncorrected energy (eV/f.u.) = -33.22
- volume (A^3/atom) = 18.9
- total moment (Bohr magnetons per cell) = 0.39
- raw formation energy (meV/atom) = 1276

Material: MgCrReTc
Method: DFT, GGA-PBE
State: optimized geometry

Lattice parameters (Å, degrees): 4.3597 4.3597 4.3597 60.00 60.00 60.00
Sites, in units of the cell vectors:
1 Tc 0.7500 0.7500 0.7500
2 Cr 0.2500 0.2500 0.2500
3 Re 0.5000 0.5000 0.5000
4 Mg 0.0000 0.0000 0.0000

Values from the calculation:
- theoretical density (g/cm3) = 10.22
- uncorrected energy (eV/f.u.) = -33.27
- volume (A^3/atom) = 14.6
- energy of formation from the pure elements (eV per atom) = 0.19
- total moment (Bohr magnetons per cell) = 2.13

Material: MgCr2Rh
Method: DFT, GGA-PBE
State: optimized geometry

Lattice parameters (Å, degrees): 4.3399 4.3399 3.1575 90.00 90.00 90.00
Sites, in units of the cell vectors:
1 Cr 0.5000 0.5000 0.0000
2 Cr 0.0000 0.0000 0.0000
3 Rh 0.0000 0.5000 0.5000
4 Mg 0.5000 0.0000 0.5000

Values from the calculation:
- theoretical density (g/cm3) = 6.46
- uncorrected energy (eV/f.u.) = -26.86
- volume (A^3/atom) = 14.9
- energy of formation from the pure elements (eV per atom) = 0.33
- total moment (Bohr magnetons per cell) = 6.00

Material: Mg3CrRh
Method: DFT, GGA-PBE
State: optimized geometry

Lattice parameters (Å, degrees): 4.8928 4.8928 4.8928 90.00 90.00 90.00
Sites, in units of the cell vectors:
1 Mg 0.0000 0.0000 0.5000
2 Mg 0.0000 0.5000 0.0000
3 Mg 0.5000 0.0000 0.0000
4 Rh 0.0000 0.0000 0.0000
5 Cr 0.5000 0.5000 0.5000

Values from the calculation:
- theoretical density (g/cm3) = 3.23
- uncorrected energy (eV/f.u.) = -20.06
- volume (A^3/atom) = 23.4
- energy of formation from the pure elements (eV per atom) = 0.34
- total moment (Bohr magnetons per cell) = 4.86

Material: MgCr2Rh2
Method: DFT, GGA-PBE
State: optimized geometry

Lattice parameters (Å, degrees): 7.2799 7.2799 2.7237 90.00 90.00 90.00
Sites, in units of the cell vectors:
1 Cr 0.1073 0.3927 0.0000
2 Cr 0.6073 0.1073 0.0000
3 Cr 0.3927 0.8927 0.0000
4 Cr 0.8927 0.6073 0.0000
5 Rh 0.8208 0.3208 0.5000
6 Rh 0.1792 0.6792 0.5000
7 Rh 0.3208 0.1792 0.5000
8 Rh 0.6792 0.8208 0.5000
9 Mg 0.5000 0.5000 0.0000
10 Mg 0.0000 0.0000 0.0000

Values from the calculation:
- theoretical density (g/cm3) = 7.69
- uncorrected energy (eV/f.u.) = -35.71
- volume (A^3/atom) = 14.4
- energy of formation from the pure elements (eV per atom) = -0.03
- total moment (Bohr magnetons per cell) = 0.00